(1)
Entry from Alexandria via LeMat-Bulk: CdGa3Ir at its PBEsol-relaxed geometry (SCAN).

extended XYZ file:
```
5
Lattice="4.7926 0.0000 0.0000 0.0000 4.7926 0.0000 0.0000 0.0000 4.7926" Properties=species:S:1:pos:R:3 pbc="T T T"
Ir 0.0000 0.0000 0.0000
Ga 0.0000 2.3963 0.0000
Ga 0.0000 0.0000 2.3963
Ga 2.3963 0.0000 0.0000
Cd 2.3963 2.3963 2.3963
```

Calculated values
The value obtained for the volume is 110.1 Å³ per cell. The magnetization comes out at 0.0000 μB per atom. As for the energy relative to the elements: -0.220 eV per atom.


(2)
Entry from Alexandria via LeMat-Bulk: Cd3GaIr at its PBEsol-relaxed geometry (SCAN).

extended XYZ file:
```
5
Lattice="5.1080 0.0000 0.0000 0.0000 5.1080 0.0000 0.0000 0.0000 5.1080" Properties=species:S:1:pos:R:3 pbc="T T T"
Ir 0.0000 0.0000 0.0000
Ga 2.5540 2.5540 2.5540
Cd 0.0000 2.5540 0.0000
Cd 0.0000 0.0000 2.5540
Cd 2.5540 0.0000 0.0000
```

Calculated values
The value obtained for the volume is 133.3 Å³ per cell. The magnetization comes out at 0.0000 μB per atom. As for the energy relative to the elements: 0.431 eV per atom.


(3)
Entry from Alexandria via LeMat-Bulk: Nb2CdGaIr at its PBEsol-relaxed geometry (SCAN).

extended XYZ file:
```
5
Lattice="4.5011 0.0000 0.0000 0.0000 4.6947 0.0000 0.0000 0.0000 4.6947" Properties=species:S:1:pos:R:3 pbc="T T T"
Nb 0.0000 0.0000 2.3474
Nb 0.0000 2.3474 0.0000
Ir 2.2506 2.3474 2.3474
Ga 0.0000 0.0000 0.0000
Cd 2.2506 0.0000 0.0000
```

Calculated values
The value obtained for the volume is 99.2 Å³ per cell. The magnetization comes out at 0.0000 μB per atom. As for the energy relative to the elements: 1.166 eV per atom.